Density functional theory data (PBE) for a relaxed structure of Ta6MnMo5.

Calculated values
Space group = Immm, No. 71
Total magnetic moment = 0.00 μB per formula unit
Calculated total energy = -136.74 eV/cell

a b c (Å): 4.5283 6.4124 7.8689
angles (deg): 114.04 106.72 90.00
Fractional coordinates of all 12 atoms:
Ta (0.8354, 0.5876, 0.6708)
Ta (0.1646, 0.4124, 0.3292)
Mo (0.6664, 0.6664, 0.3328)
Mn (0.0000, 0.0000, 0.0000)
Ta (0.8354, 0.0832, 0.6708)
Ta (0.5000, 0.2456, 0.0000)
Ta (0.1646, 0.9168, 0.3292)
Mo (0.3336, 0.3336, 0.6672)
Ta (0.5000, 0.7544, 0.0000)
Mo (0.6654, 0.1654, 0.3309)
Mo (0.3346, 0.8346, 0.6691)
Mo (0.0000, 0.5000, 0.0000)

---

Density functional theory data (PBE) for a relaxed structure of TaMnMo2.

Calculated values
Space group = Cmmm, No. 65
Polymorph energy (0 for the lowest one) = 317 meV/atom
Total magnetic moment = 2.00 μB per formula unit

a b c (Å): 5.2460 5.2460 2.6588
angles (deg): 90.00 90.00 119.81
Site moments in Bohr magnetons follow the coordinates.
Fractional coordinates of all 4 atoms:
Ta (0.5000, 0.0000, 0.5000)  -0.14
Mo (0.0000, 0.0000, 0.0000)  -0.04
Mo (0.5000, 0.5000, 0.0000)  -0.04
Mn (0.0000, 0.5000, 0.5000)  2.23

---

Density functional theory data (PBE) for a relaxed structure of TaMnMo2.

Calculated values
Space group = P2/m, No. 10
Polymorph energy (0 for the lowest one) = 88 meV/atom
Total magnetic moment = 0.86 μB per formula unit

a b c (Å): 4.4277 2.7457 5.1319
angles (deg): 79.66 90.00 90.00
Site moments in Bohr magnetons follow the coordinates.
Fractional coordinates of all 4 atoms:
Mo (0.0000, 0.5040, 0.5051)  -0.12
Mn (0.5000, 0.7500, 0.7500)  1.25
Ta (0.5000, 0.2500, 0.2500)  -0.10
Mo (0.0000, 0.9960, 0.9949)  -0.12

---

Density functional theory data (PBE) for a relaxed structure of TaMnTcMo.

Calculated values
Space group = F-43m, No. 216
Total magnetic moment = 0.00 μB per formula unit
Calculated total energy = -42.56 eV/cell

a b c (Å): 4.3824 4.3824 4.3824
angles (deg): 60.00 60.00 60.00
Fractional coordinates of all 4 atoms:
Mn (0.7500, 0.7500, 0.7500)
Ta (0.0000, 0.0000, 0.0000)
Mo (0.5000, 0.5000, 0.5000)
Tc (0.2500, 0.2500, 0.2500)

---

Density functional theory data (PBE) for a relaxed structure of TaMn2TeMo.

Calculated values
Space group = P4/mmm, No. 123
Formation energy (no corrections) = 1648 meV per atom
Total magnetic moment = 0.00 μB per formula unit

a b c (Å): 4.4103 5.0022 4.4103
angles (deg): 90.00 90.00 90.00
Fractional coordinates of all 5 atoms:
Mn (0.5000, 0.0000, 0.0000)
Mo (0.0000, 0.0000, 0.0000)
Ta (0.5000, 0.5000, 0.5000)
Te (0.0000, 0.5000, 0.0000)
Mn (0.0000, 0.0000, 0.5000)

---

Density functional theory data (PBE) for a relaxed structure of TaMnVMo.

Calculated values
Space group = F-43m, No. 216
Total magnetic moment = 0.00 μB per formula unit
Calculated total energy = -41.50 eV/cell

a b c (Å): 4.3467 4.3467 4.3467
angles (deg): 60.00 60.00 60.00
Fractional coordinates of all 4 atoms:
V (0.5000, 0.5000, 0.5000)
Mn (0.2500, 0.2500, 0.2500)
Mo (0.7500, 0.7500, 0.7500)
Ta (0.0000, 0.0000, 0.0000)

---

Density functional theory data (PBE) for a relaxed structure of ZrTaMnMo.

Calculated values
Space group = F-43m, No. 216
Total magnetic moment = 0.00 μB per formula unit
Calculated total energy = -40.58 eV/cell

a b c (Å): 4.5429 4.5429 4.5429
angles (deg): 60.00 60.00 60.00
Fractional coordinates of all 4 atoms:
Zr (0.2500, 0.2500, 0.2500)
Ta (0.7500, 0.7500, 0.7500)
Mn (0.0000, 0.0000, 0.0000)
Mo (0.5000, 0.5000, 0.5000)

---

Density functional theory data (PBE) for a relaxed structure of TbMn4Mo.

Calculated values
Space group = F-43m, No. 216
Total magnetic moment = 3.79 μB per formula unit
Calculated total energy = -51.11 eV/cell

a b c (Å): 4.9424 4.9424 4.9424
angles (deg): 60.00 60.00 60.00
Site moments in Bohr magnetons follow the coordinates.
Fractional coordinates of all 6 atoms:
Mn (0.6246, 0.6246, 0.1262)  1.10
Tb (0.0000, 0.0000, 0.0000)  -0.14
Mn (0.1262, 0.6246, 0.6246)  1.10
Mn (0.6246, 0.1262, 0.6246)  1.10
Mo (0.2500, 0.2500, 0.2500)  -0.50
Mn (0.6246, 0.6246, 0.6246)  1.10